VASP calculation (PBE) on an optimized crystal structure of Ba2Na3Bi4Pb.

Cell: 5.1426 5.1426 13.5028 Å, 90.00 90.00 90.00°
Atoms (fractional coordinates):
1 Pb 0.5000 0.5000 0.5000
2 Bi 0.0000 0.5000 0.3487
3 Bi 0.5000 0.5000 0.0000
4 Bi 0.0000 0.0000 0.0000
5 Bi 0.5000 0.0000 0.6513
6 Ba 0.0000 0.5000 0.7685
7 Ba 0.5000 0.0000 0.2315
8 Na 0.5000 0.0000 0.8713
9 Na 0.0000 0.5000 0.1287
10 Na 0.0000 0.0000 0.5000

Output
crystal system	tetragonal
N(E_F)	2.27	states/eV/f.u.
space group	P-4m2, No. 115
formation enthalpy at 0 K	-0.48	eV per atom


VASP calculation (PBE) on an optimized crystal structure of CePr3Er3S8.

Cell: 7.9354 7.9352 8.0077 Å, 119.70 90.00 120.00°
Site moments in Bohr magnetons follow the coordinates.
Atoms (fractional coordinates):
1 Ce 0.0000 0.0000 0.5000  0.90
2 Pr 0.0000 0.0000 0.0000  0.05
3 Pr 0.5000 0.5000 0.0000  0.05
4 Pr 0.0000 0.5000 0.0000  0.05
5 S 0.2569 0.5138 0.2707  0.00
6 S 0.7431 0.4862 0.7293  0.00
7 S 0.2524 0.5047 0.7375  -0.01
8 S 0.2672 0.0149 0.2625  -0.01
9 S 0.7476 0.4953 0.2625  -0.01
10 S 0.7328 0.9851 0.7375  -0.01
11 S 0.7476 0.0149 0.2625  -0.01
12 S 0.2524 0.9851 0.7375  -0.01
13 Er 0.5000 0.5000 0.5000  0.03
14 Er 0.0000 0.5000 0.5000  0.03
15 Er 0.5000 0.0000 0.5000  0.03

Output
crystal system	trigonal
N(E_F)	11.47	states/eV/f.u.
space group	R-3m, No. 166
raw formation energy	-2.011	eV/atom


VASP calculation (PBE) on an optimized crystal structure of YTaOs.

Cell: 6.0503 6.0499 3.2671 Å, 74.34 74.33 31.33°
Atoms (fractional coordinates):
1 Os 0.0198 0.0198 0.9802
2 Ta 0.6415 0.6415 0.3585
3 Y 0.3387 0.3387 0.6613

Output
energy above the most stable polymorph in this dataset	193	meV/atom
crystal system	tetragonal
N(E_F)	3.58	states/eV/f.u.
space group	I4mm, No. 107
formation enthalpy at 0 K	-0.05	eV per atom


VASP calculation (PBE) on an optimized crystal structure of Tb4MgAg5.

Cell: 3.5726 3.5726 18.2313 Å, 90.00 90.00 90.00°
Atoms (fractional coordinates):
1 Tb 0.0000 0.0000 0.3969
2 Tb 0.0000 0.0000 0.6031
3 Tb 0.0000 0.0000 0.1905
4 Tb 0.0000 0.0000 0.8095
5 Ag 0.5000 0.5000 0.0871
6 Ag 0.5000 0.5000 0.7065
7 Ag 0.5000 0.5000 0.5000
8 Ag 0.5000 0.5000 0.2935
9 Ag 0.5000 0.5000 0.9129
10 Mg 0.0000 0.0000 0.0000

Output
crystal system	tetragonal
N(E_F)	4.62	states/eV/f.u.
space group	P4/mmm, No. 123
formation enthalpy at 0 K	-0.29	eV per atom


VASP calculation (PBE) on an optimized crystal structure of TiVZn6.

Cell: 4.3465 5.5554 5.5554 Å, 119.99 90.00 90.00°
Site moments in Bohr magnetons follow the coordinates.
Atoms (fractional coordinates):
1 Zn 0.5000 0.9182 0.0818  0.00
2 Zn 0.5000 0.4137 0.0820  0.00
3 Zn 0.0000 0.5847 0.4153  -0.01
4 Zn 0.5000 0.9180 0.5863  0.00
5 Zn 0.0000 0.0802 0.4151  -0.01
6 Zn 0.0000 0.5849 0.9198  -0.01
7 Ti 0.5000 0.4165 0.5835  -0.04
8 V 0.0000 0.0834 0.9166  0.91

Output
energy above the most stable polymorph in this dataset	44	meV/atom
crystal system	hexagonal
N(E_F)	4.77	states/eV/f.u.
space group	P-6m2, No. 187
formation enthalpy at 0 K	-0.07	eV per atom


VASP calculation (PBE) on an optimized crystal structure of La2PuFe2N6.

Cell: 5.8061 5.8061 6.4888 Å, 63.42 63.42 60.00°
Site moments in Bohr magnetons follow the coordinates.
Atoms (fractional coordinates):
1 Fe 0.5745 0.5745 0.2764  2.11
2 Fe 0.4255 0.4255 0.7236  2.11
3 La 0.2136 0.2136 0.3591  0.10
4 La 0.7864 0.7864 0.6409  0.10
5 Pu 0.0000 0.0000 0.0000  3.96
6 N 0.7513 0.2300 0.2675  0.00
7 N 0.7700 0.2487 0.7325  0.00
8 N 0.7513 0.7513 0.2675  0.00
9 N 0.2300 0.7513 0.2675  0.00
10 N 0.2487 0.7700 0.7325  0.00
11 N 0.2487 0.2487 0.7325  0.00

Output
crystal system	trigonal
N(E_F)	7.20	states/eV/f.u.
space group	R-3m, No. 166
raw formation energy	-0.677	eV/atom


VASP calculation (PBE) on an optimized crystal structure of Pu4IrPd3.

Cell: 3.4880 4.9443 9.9143 Å, 90.00 90.00 90.00°
Site moments in Bohr magnetons follow the coordinates.
Atoms (fractional coordinates):
1 Pu 0.0000 0.5000 0.2371  -5.24
2 Pu 0.0000 0.0000 0.5000  -5.28
3 Pu 0.0000 0.5000 0.7629  -5.24
4 Pu 0.0000 0.0000 0.0000  -5.22
5 Pd 0.5000 0.0000 0.7457  0.03
6 Pd 0.5000 0.5000 0.5000  0.03
7 Pd 0.5000 0.0000 0.2543  0.03
8 Ir 0.5000 0.5000 0.0000  0.43

Output
crystal system	orthorhombic
N(E_F)	34.43	states/eV/f.u.
space group	Pmmm, No. 47
formation enthalpy at 0 K	-0.42	eV per atom


VASP calculation (PBE) on an optimized crystal structure of Li2Ce3Pt7.

Cell: 5.4721 5.4721 9.0798 Å, 72.46 72.46 60.00°
Site moments in Bohr magnetons follow the coordinates.
Atoms (fractional coordinates):
1 Li 0.3346 0.3346 0.9961  0.01
2 Li 0.6654 0.6654 0.0039  0.01
3 Ce 0.0000 0.0000 0.0000  0.88
4 Ce 0.1386 0.1386 0.5843  0.72
5 Ce 0.8614 0.8614 0.4157  0.72
6 Pt 0.9239 0.4187 0.2387  -0.03
7 Pt 0.5813 0.5813 0.7613  -0.03
8 Pt 0.4187 0.9239 0.2387  -0.03
9 Pt 0.0761 0.5813 0.7613  -0.03
10 Pt 0.5813 0.0761 0.7613  -0.03
11 Pt 0.5000 0.5000 0.5000  -0.02
12 Pt 0.4187 0.4187 0.2387  -0.03

Output
crystal system	trigonal
N(E_F)	19.86	states/eV/f.u.
space group	R-3m, No. 166
formation enthalpy at 0 K	-0.88	eV per atom


VASP calculation (PBE) on an optimized crystal structure of Ba2SrSe.

Cell: 7.8887 7.8887 7.8887 Å, 148.30 129.03 61.28°
Atoms (fractional coordinates):
1 Ba 0.9279 0.9279 0.0000
2 Ba 0.5721 0.5721 0.0000
3 Sr 0.2500 0.7500 0.5000
4 Se 0.7500 0.2500 0.5000

Output
energy above the most stable polymorph in this dataset	190	meV/atom
crystal system	orthorhombic
N(E_F)	3.30	states/eV/f.u.
space group	Immm, No. 71
raw formation energy	-0.736	eV/atom


VASP calculation (PBE) on an optimized crystal structure of KBa2TeMo.

Cell: 6.1807 5.3597 6.1807 Å, 90.00 90.00 90.00°
Atoms (fractional coordinates):
1 K 0.5000 0.5000 0.5000
2 Ba 0.0000 0.0000 0.5000
3 Ba 0.5000 0.0000 0.0000
4 Mo 0.0000 0.0000 0.0000
5 Te 0.0000 0.5000 0.0000

Output
crystal system	tetragonal
N(E_F)	4.69	states/eV/f.u.
space group	P4/mmm, No. 123
raw formation energy	0.218	eV/atom


VASP calculation (PBE) on an optimized crystal structure of Mg8In2Au.

Cell: 4.9992 6.5473 8.5482 Å, 112.30 107.00 90.00°
Atoms (fractional coordinates):
1 Mg 0.9989 0.2424 0.9979
2 Mg 0.6387 0.8807 0.2773
3 Mg 0.6353 0.3990 0.2707
4 Mg 0.1832 0.1863 0.3664
5 Mg 0.3647 0.6010 0.7293
6 Mg 0.3613 0.1193 0.7227
7 Mg 0.8168 0.8137 0.6336
8 Mg 0.0011 0.7576 0.0021
9 Au 0.5000 0.0000 0.0000
10 In 0.8194 0.3197 0.6389
11 In 0.1806 0.6803 0.3611

Output
crystal system	monoclinic
N(E_F)	3.82	states/eV/f.u.
space group	C2/m, No. 12
formation enthalpy at 0 K	-0.17	eV per atom


VASP calculation (PBE) on an optimized crystal structure of Ba2TcAg.

Cell: 8.8730 8.8730 8.8730 Å, 30.49 30.49 30.49°
Site moments in Bohr magnetons follow the coordinates.
Atoms (fractional coordinates):
1 Ba 0.0398 0.0398 0.0398  0.00
2 Ba 0.2102 0.2102 0.2102  0.00
3 Tc 0.4582 0.4582 0.4582  1.70
4 Ag 0.7918 0.7918 0.7918  0.06

Output
energy above the most stable polymorph in this dataset	0	meV/atom
crystal system	trigonal
N(E_F)	4.17	states/eV/f.u.
space group	R3m, No. 160
formation enthalpy at 0 K	0.46	eV per atom


VASP calculation (PBE) on an optimized crystal structure of SrY2In3.

Cell: 3.8408 3.8408 11.7345 Å, 90.00 90.00 90.00°
Atoms (fractional coordinates):
1 Sr 0.5000 0.5000 0.5000
2 In 0.0000 0.0000 0.0000
3 In 0.0000 0.0000 0.3112
4 In 0.0000 0.0000 0.6888
5 Y 0.5000 0.5000 0.1577
6 Y 0.5000 0.5000 0.8423

Output
crystal system	tetragonal
N(E_F)	3.80	states/eV/f.u.
space group	P4/mmm, No. 123
formation enthalpy at 0 K	-0.47	eV per atom


VASP calculation (PBE) on an optimized crystal structure of Pm4DySc2.

Cell: 7.7695 7.7695 18.4076 Å, 95.12 95.12 153.49°
Atoms (fractional coordinates):
1 Pm 0.7278 0.6041 0.0847
2 Pm 0.6041 0.7278 0.5847
3 Pm 0.3223 0.9869 0.5763
4 Pm 0.3959 0.2722 0.4153
5 Pm 0.0131 0.6777 0.9237
6 Pm 0.9869 0.3223 0.0763
7 Pm 0.2722 0.3959 0.9153
8 Pm 0.6777 0.0131 0.4237
9 Sc 0.5722 0.4278 0.2500
10 Sc 0.2291 0.7709 0.2500
11 Sc 0.4278 0.5722 0.7500
12 Sc 0.7709 0.2291 0.7500
13 Dy 0.0965 0.9035 0.7500
14 Dy 0.9035 0.0965 0.2500

Output
energy above the most stable polymorph in this dataset	92	meV/atom
crystal system	monoclinic
N(E_F)	12.35	states/eV/f.u.
space group	C2/c, No. 15
formation enthalpy at 0 K	0.25	eV per atom


VASP calculation (PBE) on an optimized crystal structure of CeCdAsS.

Cell: 4.4983 4.4983 9.4044 Å, 90.00 90.00 90.00°
Site moments in Bohr magnetons follow the coordinates.
Atoms (fractional coordinates):
1 Cd 0.5000 0.5000 0.0000  0.01
2 Cd 0.0000 0.0000 0.0000  0.01
3 As 0.5000 0.0000 0.1863  -0.01
4 As 0.0000 0.5000 0.8137  -0.01
5 Ce 0.5000 0.0000 0.6690  0.88
6 Ce 0.0000 0.5000 0.3310  0.88
7 S 0.5000 0.5000 0.5000  -0.04
8 S 0.0000 0.0000 0.5000  -0.04

Output
crystal system	tetragonal
N(E_F)	6.79	states/eV/f.u.
space group	P4/nmm, No. 129
raw formation energy	-0.980	eV/atom


VASP calculation (PBE) on an optimized crystal structure of Sc2TcPAu.

Cell: 4.8538 4.5405 4.8538 Å, 90.00 90.00 90.00°
Site moments in Bohr magnetons follow the coordinates.
Atoms (fractional coordinates):
1 Sc 0.0000 0.0000 0.5000  -0.22
2 Sc 0.5000 0.0000 0.0000  -0.23
3 Tc 0.5000 0.5000 0.5000  2.10
4 P 0.0000 0.0000 0.0000  0.04
5 Au 0.0000 0.5000 0.0000  -0.01

Output
crystal system	tetragonal
N(E_F)	3.45	states/eV/f.u.
space group	P4/mmm, No. 123
formation enthalpy at 0 K	0.18	eV per atom


VASP calculation (PBE) on an optimized crystal structure of CuBr.

Cell: 4.2185 4.2185 3.6030 Å, 90.00 90.00 129.26°
Atoms (fractional coordinates):
1 Br 0.0000 0.0000 0.0000
2 Cu 0.5000 0.5000 0.5000

Output
crystal system	orthorhombic
N(E_F)	0.57	states/eV/f.u.
space group	Cmmm, No. 65
raw formation energy	0.007	eV/atom


VASP calculation (PBE) on an optimized crystal structure of K2PrCl4.

Cell: 5.5708 5.5708 9.0307 Å, 107.96 107.96 90.00°
Site moments in Bohr magnetons follow the coordinates.
Atoms (fractional coordinates):
1 K 0.6396 0.6396 0.2792  0.00
2 K 0.3604 0.3604 0.7208  0.00
3 Cl 0.0000 0.5000 0.0000  -0.01
4 Cl 0.8270 0.8270 0.6539  0.01
5 Cl 0.5000 0.0000 0.0000  -0.01
6 Cl 0.1730 0.1730 0.3461  0.01
7 Pr 0.0000 0.0000 0.0000  0.20

Output
crystal system	tetragonal
N(E_F)	3.14	states/eV/f.u.
space group	I4/mmm, No. 139
raw formation energy	-1.847	eV/atom


VASP calculation (PBE) on an optimized crystal structure of MgPaCuPt.

Cell: 4.7673 4.7673 4.7673 Å, 60.00 60.00 60.00°
Atoms (fractional coordinates):
1 Mg 0.0000 0.0000 0.0000
2 Pt 0.7500 0.7500 0.7500
3 Cu 0.2500 0.2500 0.2500
4 Pa 0.5000 0.5000 0.5000

Output
crystal system	cubic
N(E_F)	5.50	states/eV/f.u.
space group	F-43m, No. 216
formation enthalpy at 0 K	-0.45	eV per atom


VASP calculation (PBE) on an optimized crystal structure of PmPuTe2Se.

Cell: 4.3838 4.3838 15.5521 Å, 90.00 90.00 90.00°
Site moments in Bohr magnetons follow the coordinates.
Atoms (fractional coordinates):
1 Pm 0.0000 0.5000 0.9056  -0.01
2 Pm 0.5000 0.0000 0.0944  -0.01
3 Te 0.0000 0.5000 0.1139  -0.01
4 Te 0.5000 0.0000 0.8861  -0.01
5 Te 0.0000 0.5000 0.7031  -0.09
6 Te 0.5000 0.0000 0.2969  -0.09
7 Pu 0.5000 0.0000 0.6285  5.19
8 Pu 0.0000 0.5000 0.3715  5.19
9 Se 0.5000 0.5000 0.5000  -0.10
10 Se 0.0000 0.0000 0.5000  -0.10

Output
crystal system	tetragonal
N(E_F)	12.21	states/eV/f.u.
space group	P4/nmm, No. 129
raw formation energy	-1.231	eV/atom


VASP calculation (PBE) on an optimized crystal structure of SeI2Cl.

Cell: 6.4750 7.4712 9.2441 Å, 88.75 79.39 82.15°
Atoms (fractional coordinates):
1 Cl 0.9646 0.2493 0.8652
2 Cl 0.8560 0.1136 0.3938
3 I 0.3434 0.6276 0.5068
4 I 0.0835 0.3661 0.4580
5 I 0.5254 0.0284 0.1016
6 I 0.2207 0.7758 0.8222
7 Se 0.9088 0.1759 0.1044
8 Se 0.1542 0.8929 0.0970

Output
energy above the most stable polymorph in this dataset	0	meV/atom
crystal system	triclinic
space group	P1, No. 1
raw formation energy	-0.101	eV/atom


VASP calculation (PBE) on an optimized crystal structure of Re6Os.

Cell: 7.0409 7.0409 7.0409 Å, 36.11 36.11 36.11°
Atoms (fractional coordinates):
1 Re 0.4074 0.4074 0.4074
2 Re 0.5926 0.5926 0.5926
3 Re 0.8630 0.8630 0.8630
4 Re 0.2699 0.2699 0.2699
5 Re 0.1370 0.1370 0.1370
6 Re 0.7301 0.7301 0.7301
7 Os 0.0000 0.0000 0.0000

Output
energy above the most stable polymorph in this dataset	67	meV/atom
crystal system	trigonal
N(E_F)	5.04	states/eV/f.u.
space group	R-3m, No. 166
formation enthalpy at 0 K	0.34	eV per atom


VASP calculation (PBE) on an optimized crystal structure of Ac2SmCd6.

Cell: 3.7617 8.8697 8.8697 Å, 120.00 90.00 90.00°
Atoms (fractional coordinates):
1 Cd 0.5000 0.0000 0.3266
2 Cd 0.5000 0.0000 0.6734
3 Cd 0.5000 0.3266 0.0000
4 Cd 0.5000 0.6734 0.0000
5 Cd 0.5000 0.6734 0.6734
6 Cd 0.5000 0.3266 0.3266
7 Sm 0.0000 0.0000 0.0000
8 Ac 0.0000 0.3333 0.6667
9 Ac 0.0000 0.6667 0.3333

Output
crystal system	hexagonal
N(E_F)	8.20	states/eV/f.u.
space group	P6/mmm, No. 191
formation enthalpy at 0 K	-0.32	eV per atom


VASP calculation (PBE) on an optimized crystal structure of DyHo2Fe.

Cell: 3.3349 3.3349 8.9574 Å, 90.00 90.00 90.00°
Atoms (fractional coordinates):
1 Ho 0.0000 0.0000 0.1792
2 Ho 0.0000 0.0000 0.8208
3 Fe 0.5000 0.5000 0.0000
4 Dy 0.5000 0.5000 0.5000

Output
energy above the most stable polymorph in this dataset	100	meV/atom
crystal system	tetragonal
N(E_F)	3.29	states/eV/f.u.
space group	P4/mmm, No. 123
formation enthalpy at 0 K	0.08	eV per atom


VASP calculation (PBE) on an optimized crystal structure of ZrCoP2.

Cell: 7.6321 7.6321 7.6321 Å, 23.25 23.25 23.25°
Atoms (fractional coordinates):
1 P 0.2600 0.2600 0.2600
2 P 0.0059 0.0059 0.0059
3 Zr 0.5009 0.5009 0.5009
4 Co 0.7332 0.7332 0.7332

Output
energy above the most stable polymorph in this dataset	628	meV/atom
crystal system	trigonal
N(E_F)	4.38	states/eV/f.u.
space group	R3m, No. 160
formation enthalpy at 0 K	-0.10	eV per atom